Here is an optimized crystal structure of Lu2FeCoO6 from Alexandria. Energies are from GGA+U.

Spin magnetization = 0.000 μB per atom
SG = P2_1/c (14)
Theoretical density = 9.09 Mg/m³
Total energy = -7.24 eV/atom

a b c (Å): 5.094 5.482 8.910
angles (deg): 90.00 124.59 90.00
Fractional coordinates of all 20 atoms:
Lu  0.225  0.077  0.249
Lu  0.225  0.423  0.749
Lu  0.775  0.577  0.251
Lu  0.775  0.923  0.751
Fe  0.500  0.000  0.000
Fe  0.500  0.500  0.500
Co  0.000  0.000  0.500
Co  0.000  0.500  0.000
O  0.129  0.196  0.943
O  0.129  0.304  0.443
O  0.254  0.692  0.943
O  0.254  0.808  0.443
O  0.364  0.040  0.749
O  0.364  0.460  0.249
O  0.636  0.540  0.751
O  0.636  0.960  0.251
O  0.746  0.192  0.557
O  0.746  0.308  0.057
O  0.871  0.696  0.557
O  0.871  0.804  0.057